Run 1
The following is a GGA-PBE calculation of a relaxed structure of Tb5CeDy4, from Alexandria.

## Properties
Space-group type = No. 107
Total magnetic moment = 0.00 μB per formula unit

a b c (Å): 7.983 7.983 7.983
angles (deg): 97.79 97.79 136.79
Element x y z (fractional)
Tb 0.000 0.000 0.000
Tb 0.108 0.108 0.628
Tb 0.108 0.480 0.000
Tb 0.480 0.108 0.000
Tb 0.480 0.480 0.372
Ce 0.534 0.534 0.000
Dy 0.114 0.787 0.327
Dy 0.460 0.787 0.673
Dy 0.787 0.114 0.327
Dy 0.787 0.460 0.673


Run 2
The following is a GGA-PBE calculation of a relaxed structure of Tb5CeDy4, from Alexandria.

## Properties
Space-group type = No. 12
Total magnetic moment = 0.41 μB per formula unit

a b c (Å): 9.018 9.018 10.851
angles (deg): 106.82 106.82 22.19
Element x y z (fractional)
Tb 0.000 0.000 0.000
Tb 0.293 0.293 0.900
Tb 0.395 0.395 0.214
Tb 0.605 0.605 0.786
Tb 0.707 0.707 0.100
Ce 0.000 0.000 0.500
Dy 0.196 0.196 0.583
Dy 0.407 0.407 0.692
Dy 0.593 0.593 0.308
Dy 0.804 0.804 0.417


Which of them is most stable? Easy: run 2.


Run 1
The following is a GGA-PBE calculation of a relaxed structure of TbCeDy2, from Alexandria.

## Properties
Space-group type = No. 160
Total magnetic moment = 0.84 μB per formula unit

a b c (Å): 11.719 11.719 11.719
angles (deg): 17.34 17.34 17.34
Element x y z (fractional)
Tb 0.000 0.000 0.000
Ce 0.834 0.834 0.834
Dy 0.417 0.417 0.417
Dy 0.584 0.584 0.584


Run 2
The following is a GGA-PBE calculation of a relaxed structure of TbCeDy2, from Alexandria.

## Properties
Space-group type = No. 225
Total magnetic moment = 1.40 μB per formula unit

a b c (Å): 5.655 5.655 5.655
angles (deg): 60.00 60.00 60.00
Element x y z (fractional)
Tb 0.000 0.000 0.000
Ce 0.500 0.500 0.500
Dy 0.250 0.250 0.250
Dy 0.750 0.750 0.750


Run 3
The following is a GGA-PBE calculation of a relaxed structure of TbCeDy2, from Alexandria.

## Properties
Space-group type = No. 123
Total magnetic moment = 0.48 μB per formula unit

a b c (Å): 5.001 5.001 4.991
angles (deg): 90.00 90.00 90.00
Element x y z (fractional)
Tb 0.000 0.000 0.000
Ce 0.500 0.500 0.000
Dy 0.000 0.500 0.500
Dy 0.500 0.000 0.500


Run 4
The following is a GGA-PBE calculation of a relaxed structure of TbCeDy2, from Alexandria.

## Properties
Space-group type = No. 12
Total magnetic moment = 0.32 μB per formula unit

a b c (Å): 11.613 11.613 6.404
angles (deg): 94.06 94.06 16.85
Element x y z (fractional)
Tb 0.250 0.250 0.243
Tb 0.750 0.750 0.757
Ce 0.499 0.499 0.289
Ce 0.501 0.501 0.711
Dy 0.123 0.123 0.537
Dy 0.375 0.375 0.963
Dy 0.625 0.625 0.037
Dy 0.877 0.877 0.463


Which of them is most stable? Easy: run 1.


Run 1
The following is a GGA-PBE calculation of a relaxed structure of TbCeDy2, from Alexandria.

## Properties
Space-group type = No. 166
Total magnetic moment = 0.69 μB per formula unit

a b c (Å): 12.459 12.459 12.459
angles (deg): 15.73 15.73 15.73
Element x y z (fractional)
Tb 0.000 0.000 0.000
Ce 0.500 0.500 0.500
Dy 0.411 0.411 0.411
Dy 0.589 0.589 0.589


Run 2
The following is a GGA-PBE calculation of a relaxed structure of TbCeDy2, from Alexandria.

## Properties
Space-group type = No. 123
Total magnetic moment = 0.64 μB per formula unit

a b c (Å): 3.526 3.526 10.008
angles (deg): 90.00 90.00 90.00
Element x y z (fractional)
Tb 0.000 0.000 0.000
Ce 0.000 0.000 0.500
Dy 0.500 0.500 0.255
Dy 0.500 0.500 0.745


Which of them is most stable? Easy: run 2.


Run 1
The following is a GGA-PBE calculation of a relaxed structure of Tb2CeDy7, from Alexandria.

## Properties
Space-group type = No. 2
Total magnetic moment = 0.87 μB per formula unit

a b c (Å): 3.537 9.373 10.042
angles (deg): 74.45 89.99 79.20
Element x y z (fractional)
Tb 0.199 0.102 0.101
Tb 0.801 0.898 0.899
Ce 0.000 0.500 0.000
Dy 0.000 0.500 0.500
Dy 0.199 0.102 0.599
Dy 0.400 0.699 0.702
Dy 0.400 0.700 0.198
Dy 0.600 0.300 0.802
Dy 0.600 0.301 0.298
Dy 0.801 0.898 0.401


Run 2
The following is a GGA-PBE calculation of a relaxed structure of Tb2CeDy7, from Alexandria.

## Properties
Space-group type = No. 65
Total magnetic moment = 0.90 μB per formula unit

a b c (Å): 14.717 14.717 3.459
angles (deg): 90.00 90.00 154.49
Element x y z (fractional)
Tb 0.207 0.793 0.000
Tb 0.793 0.207 0.000
Ce 0.500 0.500 0.500
Dy 0.000 0.000 0.000
Dy 0.154 0.352 0.000
Dy 0.313 0.687 0.500
Dy 0.352 0.154 0.000
Dy 0.648 0.846 0.000
Dy 0.687 0.313 0.500
Dy 0.846 0.648 0.000


Which of them is most stable? Easy: run 1.


Run 1
The following is a GGA-PBE calculation of a relaxed structure of Tb6CeDy, from Alexandria.

## Properties
Space-group type = No. 123
Total magnetic moment = 0.87 μB per formula unit

a b c (Å): 5.026 5.026 10.041
angles (deg): 90.00 90.00 90.00
Element x y z (fractional)
Tb 0.000 0.000 0.000
Tb 0.000 0.000 0.500
Tb 0.000 0.500 0.249
Tb 0.000 0.500 0.751
Tb 0.500 0.000 0.249
Tb 0.500 0.000 0.751
Ce 0.500 0.500 0.000
Dy 0.500 0.500 0.500


Run 2
The following is a GGA-PBE calculation of a relaxed structure of Tb6CeDy, from Alexandria.

## Properties
Space-group type = No. 2
Total magnetic moment = 1.36 μB per formula unit

a b c (Å): 6.486 6.768 6.886
angles (deg): 118.90 102.05 90.77
Element x y z (fractional)
Tb 0.229 0.403 0.478
Tb 0.250 0.950 0.001
Tb 0.267 0.926 0.521
Tb 0.733 0.074 0.479
Tb 0.750 0.050 0.999
Tb 0.771 0.597 0.522
Ce 0.000 0.500 0.000
Dy 0.500 0.500 0.000


Which of them is most stable? Easy: run 1.


Run 1
The following is a GGA-PBE calculation of a relaxed structure of Tb6CeDy3, from Alexandria.

## Properties
Space-group type = No. 11
Total magnetic moment = 1.11 μB per formula unit

a b c (Å): 12.990 3.504 14.311
angles (deg): 90.00 100.54 90.00
Element x y z (fractional)
Tb 0.000 0.250 0.190
Tb 0.000 0.750 0.810
Tb 0.155 0.750 0.379
Tb 0.229 0.250 0.799
Tb 0.280 0.250 0.213
Tb 0.308 0.250 0.577
Tb 0.377 0.750 0.013
Tb 0.623 0.250 0.987
Tb 0.692 0.750 0.423
Tb 0.720 0.750 0.787
Tb 0.771 0.750 0.201
Tb 0.845 0.250 0.621
Ce 0.464 0.750 0.780
Ce 0.536 0.250 0.220
Dy 0.077 0.750 0.596
Dy 0.126 0.250 0.002
Dy 0.425 0.750 0.402
Dy 0.575 0.250 0.598
Dy 0.874 0.750 0.998
Dy 0.923 0.250 0.404


Run 2
The following is a GGA-PBE calculation of a relaxed structure of Tb6CeDy3, from Alexandria.

## Properties
Space-group type = No. 2
Total magnetic moment = 1.07 μB per formula unit

a b c (Å): 6.149 6.159 9.394
angles (deg): 70.95 70.94 80.25
Element x y z (fractional)
Tb 0.099 0.001 0.300
Tb 0.204 0.500 0.600
Tb 0.301 0.998 0.898
Tb 0.699 0.002 0.102
Tb 0.796 0.500 0.400
Tb 0.901 0.999 0.700
Ce 0.500 0.000 0.500
Dy 0.000 0.500 0.000
Dy 0.401 0.497 0.201
Dy 0.599 0.503 0.799


Which of them is most stable? Easy: run 2.


Run 1
The following is a GGA-PBE calculation of a relaxed structure of TbCeDy4, from Alexandria.

## Properties
Space-group type = No. 12
Total magnetic moment = 0.81 μB per formula unit

a b c (Å): 8.783 8.783 6.181
angles (deg): 96.66 96.66 23.42
Element x y z (fractional)
Tb 0.000 0.000 0.000
Ce 0.500 0.500 0.500
Dy 0.166 0.166 0.391
Dy 0.333 0.333 0.114
Dy 0.667 0.667 0.886
Dy 0.834 0.834 0.609


Run 2
The following is a GGA-PBE calculation of a relaxed structure of TbCeDy4, from Alexandria.

## Properties
Space-group type = No. 74
Total magnetic moment = 1.48 μB per formula unit

a b c (Å): 8.328 8.328 8.328
angles (deg): 133.14 92.71 105.61
Element x y z (fractional)
Tb 0.500 0.000 0.000
Tb 0.500 0.500 0.500
Ce 0.000 0.000 0.000
Ce 0.500 0.000 0.500
Dy 0.165 0.667 0.498
Dy 0.167 0.165 0.499
Dy 0.167 0.668 0.001
Dy 0.332 0.333 0.998
Dy 0.668 0.667 0.002
Dy 0.833 0.332 0.999
Dy 0.833 0.835 0.501
Dy 0.835 0.333 0.502


Which of them is most stable? Easy: run 1.


Run 1
The following is a GGA-PBE calculation of a relaxed structure of CeDyTc, from Alexandria.

## Properties
Space-group type = No. 156
Total magnetic moment = 0.00 μB per formula unit

a b c (Å): 4.716 4.716 3.510
angles (deg): 90.00 90.00 120.00
Element x y z (fractional)
Ce 0.000 0.000 0.000
Dy 0.667 0.333 0.569
Tc 0.333 0.667 0.226


Run 2
The following is a GGA-PBE calculation of a relaxed structure of CeDyTc, from Alexandria.

## Properties
Space-group type = No. 12
Total magnetic moment = 0.00 μB per formula unit

a b c (Å): 6.052 6.052 7.486
angles (deg): 119.86 119.86 40.18
Element x y z (fractional)
Ce 0.160 0.160 0.050
Ce 0.840 0.840 0.950
Dy 0.406 0.406 0.621
Dy 0.594 0.594 0.379
Tc 0.127 0.127 0.716
Tc 0.873 0.873 0.284


Which of them is most stable? Easy: run 2.


Run 1
The following is a GGA-PBE calculation of a relaxed structure of CeDyTc, from Alexandria.

## Properties
Space-group type = No. 216
Total magnetic moment = 0.01 μB per formula unit

a b c (Å): 4.793 4.793 4.793
angles (deg): 60.00 60.00 60.00
Element x y z (fractional)
Ce 0.000 0.000 0.000
Dy 0.500 0.500 0.500
Tc 0.250 0.250 0.250


Run 2
The following is a GGA-PBE calculation of a relaxed structure of CeDyTc, from Alexandria.

## Properties
Space-group type = No. 107
Total magnetic moment = 0.00 μB per formula unit

a b c (Å): 6.871 6.871 6.871
angles (deg): 151.27 151.27 41.09
Element x y z (fractional)
Ce 0.000 0.000 0.000
Dy 0.739 0.739 0.000
Tc 0.378 0.378 0.000


Which of them is most stable? Easy: run 2.


Run 1
The following is a GGA-PBE calculation of a relaxed structure of CeDyTe, from Alexandria.

## Properties
Space-group type = No. 36
Total magnetic moment = 1.82 μB per formula unit

a b c (Å): 7.931 7.931 7.297
angles (deg): 90.00 90.00 152.30
Element x y z (fractional)
Ce 0.111 0.889 0.500
Ce 0.889 0.111 0.000
Dy 0.123 0.877 0.007
Dy 0.877 0.123 0.507
Te 0.279 0.721 0.256
Te 0.721 0.279 0.756


Run 2
The following is a GGA-PBE calculation of a relaxed structure of CeDyTe, from Alexandria.

## Properties
Space-group type = No. 187
Total magnetic moment = 2.14 μB per formula unit

a b c (Å): 5.208 5.208 3.877
angles (deg): 90.00 90.00 120.00
Element x y z (fractional)
Ce 0.000 0.000 0.000
Dy 0.667 0.333 0.500
Te 0.333 0.667 0.500


Run 3
The following is a GGA-PBE calculation of a relaxed structure of CeDyTe, from Alexandria.

## Properties
Space-group type = No. 107
Total magnetic moment = 1.25 μB per formula unit

a b c (Å): 6.436 6.436 6.436
angles (deg): 144.56 144.56 50.99
Element x y z (fractional)
Ce 0.000 0.000 0.000
Dy 0.304 0.304 0.000
Te 0.665 0.665 0.000


Which of them is most stable? Easy: run 3.


Run 1
The following is a GGA-PBE calculation of a relaxed structure of CeDyTe3, from Alexandria.

## Properties
Space-group type = No. 62
Total magnetic moment = 0.96 μB per formula unit

a b c (Å): 8.299 4.421 17.288
angles (deg): 90.00 90.00 90.00
Element x y z (fractional)
Ce 0.133 0.250 0.201
Ce 0.367 0.750 0.701
Ce 0.633 0.250 0.299
Ce 0.867 0.750 0.799
Dy 0.231 0.750 0.458
Dy 0.269 0.250 0.958
Dy 0.731 0.750 0.042
Dy 0.769 0.250 0.542
Te 0.005 0.250 0.394
Te 0.120 0.750 0.064
Te 0.155 0.250 0.783
Te 0.345 0.750 0.283
Te 0.380 0.250 0.564
Te 0.495 0.750 0.894
Te 0.505 0.250 0.106
Te 0.620 0.750 0.436
Te 0.655 0.250 0.717
Te 0.845 0.750 0.217
Te 0.880 0.250 0.936
Te 0.995 0.750 0.606


Run 2
The following is a GGA-PBE calculation of a relaxed structure of CeDyTe3, from Alexandria.

## Properties
Space-group type = No. 63
Total magnetic moment = 0.96 μB per formula unit

a b c (Å): 7.440 7.440 10.848
angles (deg): 90.00 90.00 146.31
Element x y z (fractional)
Ce 0.248 0.752 0.750
Ce 0.752 0.248 0.250
Dy 0.000 0.000 0.000
Dy 0.000 0.000 0.500
Te 0.091 0.909 0.250
Te 0.354 0.646 0.065
Te 0.354 0.646 0.435
Te 0.646 0.354 0.565
Te 0.646 0.354 0.935
Te 0.909 0.091 0.750


Which of them is most stable? Easy: run 1.